{"formula": "SrFeAs2", "functional": "PBE", "state": "optimized geometry", "total_energy_ev_per_cell": -19.1, "m_tot_mub_per_cell": 3.22, "delta_e_f_ev_per_atom": 0.09, "lattice": [[5.7658, 0.1233, 0.0000], [2.6420, 5.1263, 0.0000], [-4.2039, -2.6248, 2.9491]], "species": ["As", "As", "Fe", "Sr"], "fractional_positions": [[0.0000, 0.0000, 0.0000], [0.2500, 0.7500, 0.5000], [0.5000, 0.5000, 0.0000], [0.7500, 0.2500, 0.5000]]}